Density functional theory data (GGA+U) for an optimized crystal structure of Na6V2PC4O16.

ρ	2.7	g cm⁻³
VASP energy	-6.78	eV per atom
total magnetization	5.0	μB per formula unit
V	2798.4	Å³/cell

a = 14.0920 Å, b = 14.0920 Å, c = 14.0920 Å
α = 90.00°, β = 90.00°, γ = 90.00°
Space group Fd-3 (No. 203, origin choice 2)
Inequivalent atoms, fractional coordinates:
Na 0.0800 0.3750 0.3750 (multiplicity 48)
V 0.0000 0.0000 0.5000 (multiplicity 16)
P 0.1250 0.1250 0.1250 (multiplicity 8)
C 0.0344 0.0344 0.7156 (multiplicity 32)
O 0.0229 0.2748 0.6041 (multiplicity 96)
O 0.0610 0.0610 0.0610 (multiplicity 32)